Entry 1:
Density functional theory data (PBE-GGA) for SrSe2Br after structural relaxation.

As for the uncorrected formation energy: -0.7645 eV/atom. Its energy above the most stable polymorph in this dataset is 402 meV per atom.

a b c (Å): 8.182 8.182 8.182
angles (deg): 35.16 35.16 35.16
Atoms (fractional coordinates):
Sr (0.500, 0.500, 0.500)
Se (0.888, 0.888, 0.888)
Se (0.112, 0.112, 0.112)
Br (0.000, 0.000, 0.000)

---

Entry 2:
Density functional theory data (PBE-GGA) for Sr2SeBr after structural relaxation.

As for the uncorrected formation energy: -1.7085 eV/atom. Its energy above the most stable polymorph in this dataset is 22 meV per atom.

a b c (Å): 6.289 4.459 4.455
angles (deg): 90.01 90.00 90.00
Atoms (fractional coordinates):
Br (0.000, 0.375, 0.375)
Se (0.500, 0.875, 0.875)
Sr (0.000, 0.875, 0.875)
Sr (0.500, 0.375, 0.375)

---

Entry 3:
Density functional theory data (PBE-GGA) for Sr2SeBr after structural relaxation.

As for the uncorrected formation energy: -1.6106 eV/atom. Its energy above the most stable polymorph in this dataset is 120 meV per atom.

a b c (Å): 7.792 7.792 4.281
angles (deg): 89.88 89.88 34.24
Atoms (fractional coordinates):
Br (0.525, 0.525, 0.626)
Se (0.218, 0.218, 0.124)
Sr (0.014, 0.014, 0.126)
Sr (0.743, 0.743, 0.624)

---

Entry 4:
Density functional theory data (PBE-GGA) for SrSe2Br after structural relaxation.

As for the uncorrected formation energy: -1.0477 eV/atom. Its energy above the most stable polymorph in this dataset is 119 meV per atom.

a b c (Å): 3.946 3.943 7.972
angles (deg): 90.00 90.00 90.00
Atoms (fractional coordinates):
Br (0.500, 0.500, 0.681)
Se (0.000, 0.000, 0.134)
Se (0.500, 0.500, 0.188)
Sr (0.000, 0.000, 0.497)

---

Entry 5:
Density functional theory data (PBE-GGA) for SrSe2Br2 after structural relaxation.

As for the uncorrected formation energy: -1.0774 eV/atom.

a b c (Å): 3.781 3.781 12.391
angles (deg): 81.22 81.22 90.00
Atoms (fractional coordinates):
Sr (0.000, 0.000, 0.000)
Se (0.750, 0.250, 0.500)
Se (0.250, 0.750, 0.500)
Br (0.428, 0.428, 0.145)
Br (0.572, 0.572, 0.855)

---

Entry 6:
Density functional theory data (PBE-GGA) for SrSe2Br after structural relaxation.

As for the uncorrected formation energy: -1.0373 eV/atom. Its energy above the most stable polymorph in this dataset is 130 meV per atom.

a b c (Å): 6.752 6.752 4.188
angles (deg): 72.12 72.12 36.10
Atoms (fractional coordinates):
Br (0.250, 0.250, 0.250)
Se (0.000, 0.000, 0.999)
Se (0.500, 0.500, 0.501)
Sr (0.750, 0.750, 0.750)

---

Entry 7:
Density functional theory data (PBE-GGA) for SrSe2Br after structural relaxation.

As for the uncorrected formation energy: -1.1083 eV/atom. Its energy above the most stable polymorph in this dataset is 59 meV per atom.

a b c (Å): 7.932 7.932 7.932
angles (deg): 146.68 147.88 46.96
Atoms (fractional coordinates):
Br (0.164, 0.664, 0.500)
Se (0.943, 0.943, 0.000)
Se (0.867, 0.367, 0.500)
Sr (0.527, 0.527, 0.000)

---

Entry 8:
Density functional theory data (PBE-GGA) for SrTaSeBr2 after structural relaxation.

As for the uncorrected formation energy: -0.6173 eV/atom. Its energy above the most stable polymorph in this dataset is 0 meV per atom.

a b c (Å): 5.314 5.314 5.050
angles (deg): 90.00 90.00 90.00
Atoms (fractional coordinates):
Sr (0.500, 0.500, 0.500)
Se (0.000, 0.000, 0.500)
Br (0.000, 0.500, 0.000)
Br (0.500, 0.000, 0.000)
Ta (0.000, 0.000, 0.000)

---

Entry 9:
Density functional theory data (PBE-GGA) for SrTaSeBr2 after structural relaxation.

As for the uncorrected formation energy: 0.3662 eV/atom. Its energy above the most stable polymorph in this dataset is 984 meV per atom.

a b c (Å): 5.608 5.608 6.047
angles (deg): 90.00 90.00 90.00
Atoms (fractional coordinates):
Sr (0.000, 0.000, 0.000)
Se (0.000, 0.000, 0.500)
Br (0.000, 0.500, 0.000)
Br (0.500, 0.000, 0.000)
Ta (0.500, 0.500, 0.500)

---

Entry 10:
Density functional theory data (PBE-GGA) for SrTcSeBr2 after structural relaxation.

As for the uncorrected formation energy: -0.6022 eV/atom. Its energy above the most stable polymorph in this dataset is 0 meV per atom.

a b c (Å): 5.254 5.254 4.855
angles (deg): 90.00 90.00 90.00
Atoms (fractional coordinates):
Sr (0.500, 0.500, 0.500)
Se (0.000, 0.000, 0.500)
Tc (0.000, 0.000, 0.000)
Br (0.000, 0.500, 0.000)
Br (0.500, 0.000, 0.000)

---

Entry 11:
Density functional theory data (PBE-GGA) for SrTc2SeBr after structural relaxation.

As for the uncorrected formation energy: 0.3402 eV/atom.

a b c (Å): 4.607 6.672 4.607
angles (deg): 90.00 90.00 90.00
Atoms (fractional coordinates):
Sr (0.500, 0.500, 0.500)
Se (0.000, 0.000, 0.000)
Tc (0.000, 0.000, 0.500)
Tc (0.500, 0.000, 0.000)
Br (0.000, 0.500, 0.000)

---

Entry 12:
Density functional theory data (PBE-GGA) for SrTcSeBr2 after structural relaxation.

As for the uncorrected formation energy: 0.1286 eV/atom. Its energy above the most stable polymorph in this dataset is 731 meV per atom.

a b c (Å): 5.668 5.668 6.058
angles (deg): 90.00 90.00 90.00
Atoms (fractional coordinates):
Sr (0.000, 0.000, 0.000)
Se (0.000, 0.000, 0.500)
Tc (0.500, 0.500, 0.500)
Br (0.000, 0.500, 0.000)
Br (0.500, 0.000, 0.000)

---

Summary of final energy in eV for the cell shown
-13.38; -15.36; -14.96; -14.51; -17.38; -14.47; -14.76; -23.45; -18.53; -21.89; -25.87; -18.23
(order as listed above)